The following is a DFT calculation (GGA-PBE) of MnNbGaPb2 after structural relaxation.

Unit cell a=5.3386 b=5.3386 c=4.6492 alpha=90.00 beta=90.00 gamma=90.00
Closest atoms and distances in Å follow each position.
Fractional coordinates of all 5 atoms:
Mn1 0.0000 0.0000 0.0000  2 Ga 2.32
Nb1 0.5000 0.5000 0.0000  8 Pb 3.54, 4 Mn 3.77
Ga1 0.0000 0.0000 0.5000  2 Mn 2.32
Pb1 0.0000 0.5000 0.5000  2 Ga 2.67
Pb2 0.5000 0.0000 0.5000  2 Ga 2.67

Results
Final energy in eV/atom: -4.8368
ΔH_f (0 K) in eV/atom: 1.0998
Crystal system: tetragonal
Size of the total moment in μB/f.u.: 0.95